# 1
Material: Dy2NpN4
Method: DFT, PBE
State: optimized geometry

Unit cell a=5.8114 b=9.6528 c=3.5201 alpha=90.00 beta=90.00 gamma=90.00
Space group Pbam (No. 55)
Inequivalent atoms, fractional coordinates:
Dy  0.0677  0.1778  0.0000 (multiplicity 4)
Np  0.0000  0.5000  0.5000 (multiplicity 2)
N  0.1403  0.6938  0.5000 (multiplicity 4)
N  0.2296  0.4536  0.0000 (multiplicity 4)

Results
ΔE_f (raw)	-1459	meV/atom
mass density	10.39	g/cm3
crystal system	orthorhombic

***

# 2
Material: DyNp2N3
Method: DFT, PBE
State: optimized geometry

Unit cell a=3.4638 b=3.4638 c=14.5964 alpha=90.00 beta=90.00 gamma=90.00
Space group I4/mmm (No. 139)
Inequivalent atoms, fractional coordinates:
Dy  0.0000  0.0000  0.0000 (multiplicity 2)
Np  0.0000  0.0000  0.3341 (multiplicity 4)
N  0.0000  0.0000  0.1675 (multiplicity 4)
N  0.0000  0.0000  0.5000 (multiplicity 2)

Results
ΔE_f (raw)	-1295	meV/atom
mass density	12.87	g/cm3
crystal system	tetragonal

***

# 3
Material: Dy5Np3N8
Method: DFT, PBE
State: optimized geometry

Unit cell a=6.9118 b=6.9118 c=16.9575 alpha=90.00 beta=90.00 gamma=120.00
Space group R-3m (No. 166, hexagonal axes)
Inequivalent atoms, fractional coordinates:
Dy  0.0000  0.0000  0.0000 (multiplicity 3)
Dy  0.0000  0.0000  0.5000 (multiplicity 3)
Dy  0.0000  0.5000  0.0000 (multiplicity 9)
Np  0.0000  0.5000  0.5000 (multiplicity 9)
N  0.0000  0.0000  0.2474 (multiplicity 6)
N  0.0073  0.5036  0.7538 (multiplicity 18)

Results
ΔE_f (raw)	-1473	meV/atom
mass density	11.61	g/cm3
crystal system	trigonal

***

# 4
Material: Dy2NpN3
Method: DFT, PBE
State: optimized geometry

Unit cell a=13.2082 b=3.4072 c=8.4720 alpha=90.00 beta=109.38 gamma=90.00
Space group C2/m (No. 12)
Inequivalent atoms, fractional coordinates:
Dy  0.1676  0.0000  0.3356 (multiplicity 4)
Dy  0.1693  0.5000  0.8349 (multiplicity 4)
Np  0.0000  0.0000  0.5000 (multiplicity 2)
Np  0.0000  0.5000  0.0000 (multiplicity 2)
N  0.0276  0.0000  0.8036 (multiplicity 4)
N  0.1342  0.5000  0.5267 (multiplicity 4)
N  0.1866  0.5000  0.1337 (multiplicity 4)

Results
ΔE_f (raw)	-1132	meV/atom
mass density	11.15	g/cm3
crystal system	monoclinic

***

# 5
Material: Dy3NpN4
Method: DFT, PBE
State: optimized geometry

Unit cell a=6.9430 b=9.7336 c=3.4628 alpha=90.00 beta=90.00 gamma=90.00
Space group Cmmm (No. 65)
Inequivalent atoms, fractional coordinates:
Dy  0.0000  0.0000  0.0000 (multiplicity 2)
Dy  0.2500  0.2500  0.5000 (multiplicity 4)
Np  0.0000  0.5000  0.0000 (multiplicity 2)
N  0.0000  0.2604  0.0000 (multiplicity 4)
N  0.2425  0.5000  0.5000 (multiplicity 4)

Results
ΔE_f (raw)	-1556	meV/atom
mass density	11.08	g/cm3
crystal system	orthorhombic

***

# 6
Material: DyNpN
Method: DFT, PBE
State: optimized geometry

Unit cell a=5.7383 b=3.2984 c=12.3543 alpha=90.00 beta=90.00 gamma=90.00
Space group Pnma (No. 62)
Inequivalent atoms, fractional coordinates:
Dy  0.1763  0.2500  0.2042 (multiplicity 4)
Np  0.1304  0.2500  0.4688 (multiplicity 4)
N  0.0377  0.2500  0.6695 (multiplicity 4)

Results
ΔE_f (raw)	-399	meV/atom
mass density	11.75	g/cm3
crystal system	orthorhombic

***

# 7
Material: Dy2NpPaN4
Method: DFT, PBE
State: optimized geometry

Unit cell a=6.0097 b=3.4732 c=6.0461 alpha=90.00 beta=109.52 gamma=90.00
Space group P2/m (No. 10)
Inequivalent atoms, fractional coordinates:
Dy  0.0000  0.0000  0.0000 (multiplicity 1)
Dy  0.5000  0.5000  0.0000 (multiplicity 1)
Np  0.0000  0.5000  0.5000 (multiplicity 1)
Pa  0.5000  0.0000  0.5000 (multiplicity 1)
N  0.2488  0.0000  0.7402 (multiplicity 2)
N  0.2567  0.5000  0.2581 (multiplicity 2)

Results
ΔE_f (raw)	-1528	meV/atom
mass density	11.85	g/cm3
crystal system	monoclinic

***

# 8
Material: DyNp2PaN4
Method: DFT, PBE
State: optimized geometry

Unit cell a=6.0081 b=3.4664 c=6.0202 alpha=90.00 beta=109.45 gamma=90.00
Space group P2/m (No. 10)
Inequivalent atoms, fractional coordinates:
Dy  0.0000  0.0000  0.0000 (multiplicity 1)
Np  0.0000  0.5000  0.5000 (multiplicity 1)
Np  0.5000  0.0000  0.5000 (multiplicity 1)
Pa  0.5000  0.5000  0.0000 (multiplicity 1)
N  0.2523  0.0000  0.7528 (multiplicity 2)
N  0.2556  0.5000  0.2546 (multiplicity 2)

Results
ΔE_f (raw)	-1368	meV/atom
mass density	12.97	g/cm3
crystal system	monoclinic